## VPbF3 (GGA+U)

Data for a relaxed structure of VPbF3.

Cell: 4.785 4.785 4.785 Å, 90.00 90.00 90.00°
Positions (direct):
V 0.000 0.000 0.000
Pb 0.500 0.500 0.500
F 0.000 0.500 0.500
F 0.500 0.000 0.500
F 0.500 0.500 0.000

Summary:
energy above the lowest structure with this stoichiometry	845.8	meV per atom
space group	Pm-3m
VASP energy	-4.529	eV per atom
magnetization	4.000	Bohr magnetons per cell
crystal system	cubic
D(E_F)	2.138	states/eV/atom